# 1
# Cs2Cu3Br8

A relaxed Cs2Cu3Br8 crystal (PBE, Alexandria).

For the relative energy among the computed polymorphs, the calculation gives 0.000 eV/atom.

It has space group C2/m (No. 12), with a = 15.752 Å, b = 8.694 Å, c = 7.348 Å, α = 90.00°, β = 111.81° and γ = 90.00°. Symmetry generates all atoms from Cs at (0.231, 0.000, 0.158), Cu at (0.000, 0.181, 0.500), Cu at (0.000, 0.500, 0.000), Br at (0.060, 0.282, 0.823), Br at (0.125, 0.000, 0.530) and Br at (0.152, 0.500, 0.249).

# 2
# GeBN

A relaxed GeBN crystal (PBE, Alexandria).

For the energy, the calculation gives -6.54 eV per atom.

It has space group Fmm2 (No. 42), with a = 2.635 Å, b = 5.370 Å, c = 17.170 Å, α = 90.00°, β = 90.00° and γ = 90.00°. Symmetry generates all atoms from Ge at (0.000, 0.000, 0.000), B at (0.000, 0.000, 0.254) and N at (0.000, 0.000, 0.754).

# 3
# ErNpSe4

A relaxed ErNpSe4 crystal (PBE, Alexandria).

For the energy, the calculation gives -6.41 eV per atom.

It has space group Cmmm (No. 65), with a = 9.220 Å, b = 9.352 Å, c = 4.219 Å, α = 90.00°, β = 90.00° and γ = 90.00°. Symmetry generates all atoms from Er at (0.000, 0.000, 0.000), Np at (0.000, 0.500, 0.500), Se at (0.000, 0.307, 0.000) and Se at (0.203, 0.000, 0.500).

# 4
# Ca2CdTe

A relaxed Ca2CdTe crystal (PBE, Alexandria).

For the relative energy among the computed polymorphs, the calculation gives 0.072 eV/atom.

It has space group P4/mmm (No. 123), with a = 5.435 Å, b = 5.435 Å, c = 3.955 Å, α = 90.00°, β = 90.00° and γ = 90.00°. Symmetry generates all atoms from Ca at (0.000, 0.500, 0.000), Cd at (0.000, 0.000, 0.500) and Te at (0.500, 0.500, 0.500).

# 5
# Be2AgMo

A relaxed Be2AgMo crystal (PBE, Alexandria).

As for the formation energy: 181 meV per atom. For the relative energy among the computed polymorphs, the calculation gives 0.056 eV/atom.

It has space group P4mm (No. 99), with a = 2.746 Å, b = 2.746 Å, c = 6.551 Å, α = 90.00°, β = 90.00° and γ = 90.00°. Symmetry generates all atoms from Be at (0.000, 0.000, 0.000), Be at (0.500, 0.500, 0.163), Ag at (0.500, 0.500, 0.755) and Mo at (0.000, 0.000, 0.411).

# 6
# Dy2InSi4Pt3

A relaxed Dy2InSi4Pt3 crystal (PBE, Alexandria).

For the energy, the calculation gives -6.06 eV per atom.

It has space group P-4m2 (No. 115), with a = 4.173 Å, b = 4.173 Å, c = 10.422 Å, α = 90.00°, β = 90.00° and γ = 90.00°. Symmetry generates all atoms from Dy at (0.000, 0.500, 0.240), In at (0.000, 0.000, 0.500), Si at (0.000, 0.000, 0.000), Si at (0.000, 0.500, 0.654), Si at (0.500, 0.500, 0.000), Pt at (0.000, 0.500, 0.880) and Pt at (0.500, 0.500, 0.500).

In the order shown, the computed spin magnetization values come out to 0.00, 0.00, 4.07, 0.00, 0.00, 0.00 μB per cell.